(1)
{"formula": "LiBeTc", "functional": "GGA-PBE", "state": "optimized geometry", "vol_a3_per_atom": 14.5, "space_group": "No. 216", "dos_ef_per_ev_atom": 0.44, "delta_e_f_ev_per_atom": 1.068, "cell": [[3.9500, 0.0000, 0.0000], [1.9750, 3.4208, 0.0000], [1.9750, 1.1403, 3.2252]], "species": ["Be", "Li", "Tc"], "fractional_positions": [[0.0000, 0.0000, 0.0000], [0.5000, 0.5000, 0.5000], [0.7500, 0.7500, 0.7500]]}

(2)
{"formula": "Li2BeTc", "functional": "GGA-PBE", "state": "optimized geometry", "vol_a3_per_atom": 13.4, "space_group": "No. 166", "dos_ef_per_ev_atom": 0.70, "delta_e_f_ev_per_atom": 0.340, "cell": [[-2.5639, 8.4123, -3.0454], [-4.8199, 7.1893, -3.4200], [-4.2628, 8.1999, -1.0975]], "species": ["Be", "Li", "Li", "Tc"], "fractional_positions": [[0.7500, 0.7500, 0.7500], [0.0017, 0.0017, 0.0017], [0.4983, 0.4983, 0.4983], [0.2500, 0.2500, 0.2500]]}

(3)
{"formula": "Li2BeTc", "functional": "GGA-PBE", "state": "optimized geometry", "vol_a3_per_atom": 13.4, "space_group": "No. 25", "dos_ef_per_ev_atom": 0.61, "delta_e_f_ev_per_atom": 0.149, "cell": [[2.5394, 0.0000, 0.0000], [0.0000, 2.6959, 0.0000], [0.0000, 0.0000, 7.8079]], "species": ["Be", "Li", "Li", "Tc"], "fractional_positions": [[0.5000, 0.5000, 0.7420], [0.0000, 0.0000, 0.9603], [0.5000, 0.5000, 0.2617], [0.0000, 0.0000, 0.5360]]}

(4)
{"formula": "LiBeTc2", "functional": "GGA-PBE", "state": "optimized geometry", "vol_a3_per_atom": 11.8, "space_group": "No. 225", "dos_ef_per_ev_atom": 1.20, "delta_e_f_ev_per_atom": 0.390, "cell": [[0.0000, 2.8662, 2.8662], [2.8662, 0.0000, 2.8662], [2.8662, 2.8662, 0.0000]], "species": ["Be", "Tc", "Tc", "Li"], "fractional_positions": [[0.5000, 0.5000, 0.5000], [0.2500, 0.2500, 0.2500], [0.7500, 0.7500, 0.7500], [0.0000, 0.0000, 0.0000]]}

(5)
{"formula": "LiBeTc2", "functional": "GGA-PBE", "state": "optimized geometry", "vol_a3_per_atom": 12.7, "space_group": "No. 6", "dos_ef_per_ev_atom": 0.54, "delta_e_f_ev_per_atom": 0.155, "cell": [[4.2269, 0.0000, 0.0000], [0.0000, 2.5543, -0.0280], [0.0000, 0.5356, 4.7059]], "species": ["Be", "Li", "Tc", "Tc"], "fractional_positions": [[0.0000, 0.6082, 0.4980], [0.5000, 0.6506, 0.7500], [0.0000, 0.0541, 0.9941], [0.5000, 0.1871, 0.2579]]}

(6)
{"formula": "Li3BeTc", "functional": "GGA-PBE", "state": "optimized geometry", "vol_a3_per_atom": 13.2, "space_group": "No. 221", "dos_ef_per_ev_atom": 0.39, "delta_e_f_ev_per_atom": 1.053, "cell": [[-2.2017, 2.9662, 1.6325], [-3.2602, -2.3828, -0.0675], [0.9136, -1.3547, 3.6934]], "species": ["Be", "Tc", "Li", "Li", "Li"], "fractional_positions": [[0.0000, 0.0000, 0.0000], [0.5000, 0.5000, 0.5000], [0.0000, 0.5000, 0.0000], [0.0000, 0.0000, 0.5000], [0.5000, 0.0000, 0.0000]]}

(7)
{"formula": "LiBeTc2", "functional": "GGA-PBE", "state": "optimized geometry", "vol_a3_per_atom": 12.6, "space_group": "No. 139", "dos_ef_per_ev_atom": 0.59, "delta_e_f_ev_per_atom": 0.234, "cell": [[4.6787, 0.0005, 0.0000], [1.9504, 4.2528, 0.0000], [-3.3146, -2.1266, 2.5261]], "species": ["Be", "Li", "Tc", "Tc"], "fractional_positions": [[0.2500, 0.7500, 0.5000], [0.7500, 0.2500, 0.5000], [0.0000, 0.0000, 0.0000], [0.5000, 0.5000, 0.0000]]}

(8)
{"formula": "Li2BeTc", "functional": "GGA-PBE", "state": "optimized geometry", "vol_a3_per_atom": 12.7, "space_group": "No. 8", "dos_ef_per_ev_atom": 0.33, "delta_e_f_ev_per_atom": 0.186, "cell": [[4.6354, -0.0052, 0.0088], [3.9994, 2.3435, 0.0088], [1.3356, 0.3617, 4.6643]], "species": ["Be", "Li", "Li", "Tc"], "fractional_positions": [[0.2663, 0.2663, 0.3271], [0.9729, 0.9729, 0.9470], [0.7356, 0.7356, 0.8096], [0.5251, 0.5251, 0.4162]]}

(9)
{"formula": "LiBeTc2", "functional": "GGA-PBE", "state": "optimized geometry", "vol_a3_per_atom": 12.7, "space_group": "No. 10", "dos_ef_per_ev_atom": 0.74, "delta_e_f_ev_per_atom": 0.223, "cell": [[4.0688, 0.0000, 0.0000], [0.0000, 2.5201, 0.0463], [0.0000, 1.3881, 4.9823]], "species": ["Be", "Li", "Tc", "Tc"], "fractional_positions": [[0.5000, 0.2500, 0.2500], [0.5000, 0.7500, 0.7500], [0.0000, 0.0079, 0.0026], [0.0000, 0.4921, 0.4974]]}

(10)
{"formula": "LiBeTc2", "functional": "GGA-PBE", "state": "optimized geometry", "vol_a3_per_atom": 13.4, "space_group": "No. 166", "dos_ef_per_ev_atom": 1.05, "delta_e_f_ev_per_atom": 0.266, "cell": [[-6.1848, 2.7142, 5.7974], [-7.7405, 1.2636, 4.2091], [-6.4025, 0.0968, 6.1828]], "species": ["Be", "Li", "Tc", "Tc"], "fractional_positions": [[0.2500, 0.2500, 0.2500], [0.7500, 0.7500, 0.7500], [0.9926, 0.9926, 0.9926], [0.5074, 0.5074, 0.5074]]}

(11)
{"formula": "LiBeTc2", "functional": "GGA-PBE", "state": "optimized geometry", "vol_a3_per_atom": 13.7, "space_group": "No. 35", "dos_ef_per_ev_atom": 0.57, "delta_e_f_ev_per_atom": 0.255, "cell": [[-1.2711, 0.3253, 2.2756], [-1.4178, -1.2870, -1.7981], [3.1930, -7.5090, 2.8571]], "species": ["Be", "Li", "Tc", "Tc"], "fractional_positions": [[0.0000, 0.0000, 0.4873], [0.5000, 0.5000, 0.7398], [0.0000, 0.0000, 0.0097], [0.5000, 0.5000, 0.2633]]}

(12)
{"formula": "LiBeTc2", "functional": "GGA-PBE", "state": "optimized geometry", "vol_a3_per_atom": 12.5, "space_group": "No. 123", "dos_ef_per_ev_atom": 0.64, "delta_e_f_ev_per_atom": 0.246, "cell": [[-1.5686, -2.0614, 1.6821], [-1.6401, -0.7884, -2.4955], [3.5594, -3.6710, -1.1795]], "species": ["Be", "Li", "Tc", "Tc"], "fractional_positions": [[0.5000, 0.5000, 0.2500], [0.5000, 0.5000, 0.7500], [0.0000, 0.0000, 0.0345], [0.0000, 0.0000, 0.4655]]}

(13)
{"formula": "LiBeTc2", "functional": "GGA-PBE", "state": "optimized geometry", "vol_a3_per_atom": 12.6, "space_group": "No. 65", "dos_ef_per_ev_atom": 0.51, "delta_e_f_ev_per_atom": 0.233, "cell": [[4.7063, -0.0132, 0.0000], [-2.0759, 4.2237, 0.0000], [0.0000, 0.0000, 2.5444]], "species": ["Be", "Li", "Tc", "Tc"], "fractional_positions": [[0.5000, 0.0000, 0.5000], [0.0000, 0.5000, 0.5000], [0.0000, 0.0000, 0.0000], [0.5000, 0.5000, 0.0000]]}

(14)
{"formula": "Li2BeTc", "functional": "GGA-PBE", "state": "optimized geometry", "vol_a3_per_atom": 12.5, "space_group": "No. 12", "dos_ef_per_ev_atom": 0.69, "delta_e_f_ev_per_atom": 0.186, "cell": [[-1.8957, -3.7492, 1.6334], [4.7611, 1.0424, 1.9476], [-0.5614, 0.9893, 2.1169]], "species": ["Be", "Li", "Li", "Tc"], "fractional_positions": [[0.5000, 0.5000, 0.0000], [0.0000, 0.0000, 0.0000], [0.5000, 0.0000, 0.5000], [0.0000, 0.5000, 0.5000]]}

(15)
{"formula": "LiBeTc2", "functional": "GGA-PBE", "state": "optimized geometry", "vol_a3_per_atom": 12.7, "space_group": "No. 47", "dos_ef_per_ev_atom": 0.55, "delta_e_f_ev_per_atom": 0.237, "cell": [[-1.3882, 1.4920, -1.3916], [-2.8305, 0.0388, 2.8651], [2.2252, 4.0696, 2.1432]], "species": ["Be", "Li", "Tc", "Tc"], "fractional_positions": [[0.5000, 0.5000, 0.2500], [0.5000, 0.5000, 0.7500], [0.0000, 0.0000, 0.0031], [0.0000, 0.0000, 0.4969]]}

(16)
{"formula": "LiBeTc2", "functional": "GGA-PBE", "state": "optimized geometry", "vol_a3_per_atom": 12.2, "space_group": "No. 8", "dos_ef_per_ev_atom": 0.40, "delta_e_f_ev_per_atom": 0.080, "cell": [[4.4365, 0.0104, -0.0044], [3.2447, 3.0256, -0.0044], [1.6817, 0.6647, 3.6301]], "species": ["Be", "Li", "Tc", "Tc"], "fractional_positions": [[0.5090, 0.5090, 0.4768], [0.2321, 0.2321, 0.2817], [0.9962, 0.9962, 0.9922], [0.7627, 0.7627, 0.7493]]}

(17)
{"formula": "LiBeTc2", "functional": "GGA-PBE", "state": "optimized geometry", "vol_a3_per_atom": 13.2, "space_group": "No. 25", "dos_ef_per_ev_atom": 0.68, "delta_e_f_ev_per_atom": 0.236, "cell": [[-0.3255, 1.5038, 2.2347], [-3.0971, -1.8180, 0.7722], [2.7717, -3.5388, 2.7851]], "species": ["Be", "Li", "Tc", "Tc"], "fractional_positions": [[0.0000, 0.0000, 0.4989], [0.5000, 0.5000, 0.7306], [0.0000, 0.0000, 0.0215], [0.5000, 0.5000, 0.2489]]}

(18)
{"formula": "Li2BeTc", "functional": "GGA-PBE", "state": "optimized geometry", "vol_a3_per_atom": 13.0, "space_group": "No. 123", "dos_ef_per_ev_atom": 0.44, "delta_e_f_ev_per_atom": 0.290, "cell": [[-1.1597, -1.6288, 1.4305], [1.9856, -0.1471, 1.4422], [-3.0489, 6.4333, 4.8537]], "species": ["Be", "Li", "Li", "Tc"], "fractional_positions": [[0.5000, 0.5000, 0.7500], [0.0000, 0.0000, 0.9878], [0.0000, 0.0000, 0.5122], [0.5000, 0.5000, 0.2500]]}

(19)
{"formula": "LiBeTc2", "functional": "GGA-PBE", "state": "optimized geometry", "vol_a3_per_atom": 13.0, "space_group": "No. 123", "dos_ef_per_ev_atom": 0.50, "delta_e_f_ev_per_atom": 0.167, "cell": [[-0.2670, -2.3249, 0.9485], [2.4879, -0.3738, -0.2161], [1.0971, 2.9475, 7.5333]], "species": ["Be", "Li", "Tc", "Tc"], "fractional_positions": [[0.5000, 0.5000, 0.2500], [0.5000, 0.5000, 0.7500], [0.0000, 0.0000, 0.0300], [0.0000, 0.0000, 0.4700]]}

(20)
{"formula": "Li2BeTc", "functional": "GGA-PBE", "state": "optimized geometry", "vol_a3_per_atom": 13.7, "space_group": "No. 35", "dos_ef_per_ev_atom": 0.49, "delta_e_f_ev_per_atom": 0.144, "cell": [[2.5501, -0.0589, 0.0000], [-0.3797, 2.5223, 0.0000], [0.0000, 0.0000, 8.5373]], "species": ["Be", "Li", "Li", "Tc"], "fractional_positions": [[0.5000, 0.5000, 0.7365], [0.0000, 0.0000, 0.9680], [0.5000, 0.5000, 0.2679], [0.0000, 0.0000, 0.5276]]}

(21)
{"formula": "Li2BeTc", "functional": "GGA-PBE", "state": "optimized geometry", "vol_a3_per_atom": 12.3, "space_group": "No. 122", "dos_ef_per_ev_atom": 0.37, "delta_e_f_ev_per_atom": 0.656, "cell": [[-0.8954, -3.0529, 5.7326], [-4.1119, -4.2129, -2.8859], [-0.7516, -5.0233, 0.9566]], "species": ["Be", "Be", "Tc", "Tc", "Li", "Li", "Li", "Li"], "fractional_positions": [[0.5000, 0.5000, 0.0000], [0.2500, 0.7500, 0.5000], [0.0000, 0.0000, 0.0000], [0.7500, 0.2500, 0.5000], [0.5956, 0.1250, 0.2500], [0.1544, 0.6250, 0.2500], [0.3750, 0.4044, 0.7500], [0.8750, 0.8456, 0.7500]]}

(22)
{"formula": "Li2BeTc", "functional": "GGA-PBE", "state": "optimized geometry", "vol_a3_per_atom": 13.1, "space_group": "No. 65", "dos_ef_per_ev_atom": 0.44, "delta_e_f_ev_per_atom": 0.283, "cell": [[-1.5941, -1.8500, -0.4105], [2.0750, -1.1455, 0.7171], [-2.6535, 0.4302, 8.3653]], "species": ["Be", "Li", "Li", "Tc"], "fractional_positions": [[0.5000, 0.5000, 0.7500], [0.0000, 0.0000, 0.9888], [0.0000, 0.0000, 0.5112], [0.5000, 0.5000, 0.2500]]}

(23)
{"formula": "Li3BeTc", "functional": "GGA-PBE", "state": "optimized geometry", "vol_a3_per_atom": 22.1, "space_group": "No. 221", "dos_ef_per_ev_atom": 1.22, "delta_e_f_ev_per_atom": 1.508, "cell": [[4.7995, 0.0000, 0.0000], [0.0000, 4.7995, 0.0000], [0.0000, 0.0000, 4.7995]], "species": ["Be", "Tc", "Li", "Li", "Li"], "fractional_positions": [[0.5000, 0.5000, 0.5000], [0.0000, 0.0000, 0.0000], [0.0000, 0.5000, 0.0000], [0.0000, 0.0000, 0.5000], [0.5000, 0.0000, 0.0000]]}

(24)
{"formula": "LiBeTc", "functional": "GGA-PBE", "state": "optimized geometry", "vol_a3_per_atom": 12.7, "space_group": "No. 107", "dos_ef_per_ev_atom": 0.44, "delta_e_f_ev_per_atom": 0.183, "cell": [[-3.3972, 4.7292, -2.1828], [-4.5781, 4.0556, 1.1243], [5.1771, -3.2328, 1.1902]], "species": ["Be", "Li", "Tc"], "fractional_positions": [[0.0069, 0.0069, 0.0000], [0.3400, 0.3400, 0.0000], [0.6531, 0.6531, 0.0000]]}

(25)
{"formula": "LiBeTc2", "functional": "GGA-PBE", "state": "optimized geometry", "vol_a3_per_atom": 13.7, "space_group": "No. 122", "dos_ef_per_ev_atom": 0.51, "delta_e_f_ev_per_atom": 0.541, "cell": [[3.5338, 0.0000, 0.0000], [0.0000, 3.5338, 0.0000], [1.7669, 1.7669, 8.7939]], "species": ["Be", "Be", "Tc", "Tc", "Tc", "Tc", "Li", "Li"], "fractional_positions": [[0.0000, 0.0000, 0.0000], [0.7500, 0.2500, 0.5000], [0.6275, 0.1250, 0.2500], [0.1225, 0.6250, 0.2500], [0.3750, 0.3725, 0.7500], [0.8750, 0.8775, 0.7500], [0.5000, 0.5000, 0.0000], [0.2500, 0.7500, 0.5000]]}

(26)
{"formula": "Li2BeTc", "functional": "GGA-PBE", "state": "optimized geometry", "vol_a3_per_atom": 12.4, "space_group": "No. 47", "dos_ef_per_ev_atom": 0.56, "delta_e_f_ev_per_atom": 0.186, "cell": [[2.4997, 0.0000, 0.0000], [0.0000, 4.2837, 0.0000], [0.0000, 0.0000, 4.6202]], "species": ["Be", "Li", "Li", "Tc"], "fractional_positions": [[0.0000, 0.5000, 0.5000], [0.0000, 0.0000, 0.0000], [0.5000, 0.5000, 0.0000], [0.5000, 0.0000, 0.5000]]}

(27)
{"formula": "LiBeTc2", "functional": "GGA-PBE", "state": "optimized geometry", "vol_a3_per_atom": 12.7, "space_group": "No. 47", "dos_ef_per_ev_atom": 0.71, "delta_e_f_ev_per_atom": 0.210, "cell": [[-1.4285, 1.6636, 2.2207], [0.9679, -2.7796, 2.7049], [3.4760, 1.9585, 0.7688]], "species": ["Be", "Li", "Tc", "Tc"], "fractional_positions": [[0.5000, 0.0000, 0.5000], [0.0000, 0.5000, 0.5000], [0.0000, 0.0000, 0.0000], [0.5000, 0.5000, 0.0000]]}

(28)
{"formula": "LiBeTc", "functional": "GGA-PBE", "state": "optimized geometry", "vol_a3_per_atom": 11.8, "space_group": "No. 156", "dos_ef_per_ev_atom": 0.52, "delta_e_f_ev_per_atom": 0.239, "cell": [[4.1612, 0.0000, 0.0000], [-2.0806, 3.6037, 0.0000], [0.0000, 0.0000, 2.3579]], "species": ["Be", "Li", "Tc"], "fractional_positions": [[0.0000, 0.0000, 0.1171], [0.3333, 0.6667, 0.2144], [0.6667, 0.3333, 0.6685]]}

(29)
{"formula": "LiBeTc2", "functional": "GGA-PBE", "state": "optimized geometry", "vol_a3_per_atom": 13.8, "space_group": "No. 160", "dos_ef_per_ev_atom": 0.22, "delta_e_f_ev_per_atom": 0.141, "cell": [[-0.0067, 2.2324, 8.4549], [-1.8439, 0.2243, 8.5451], [0.8129, -0.3530, 8.6997]], "species": ["Be", "Li", "Tc", "Tc"], "fractional_positions": [[0.5050, 0.5050, 0.5050], [0.7542, 0.7542, 0.7542], [0.9942, 0.9942, 0.9942], [0.2466, 0.2466, 0.2466]]}

(30)
{"formula": "LiBeTc2", "functional": "GGA-PBE", "state": "optimized geometry", "vol_a3_per_atom": 12.7, "space_group": "No. 12", "dos_ef_per_ev_atom": 0.54, "delta_e_f_ev_per_atom": 0.208, "cell": [[5.1808, 0.0080, 0.0269], [-2.2299, 4.2311, -0.0185], [0.7210, 0.6924, 2.3157]], "species": ["Be", "Li", "Tc", "Tc"], "fractional_positions": [[0.0000, 0.5000, 0.5000], [0.5000, 0.5000, 0.0000], [0.0000, 0.0000, 0.0000], [0.5000, 0.0000, 0.5000]]}

| no. | uncorrected energy (eV per atom) |
| --- | --- |
| 1 | -4.268 |
| 2 | -4.140 |
| 3 | -4.331 |
| 4 | -6.203 |
| 5 | -6.438 |
| 6 | -2.913 |
| 7 | -6.359 |
| 8 | -4.294 |
| 9 | -6.370 |
| 10 | -6.327 |
| 11 | -6.338 |
| 12 | -6.347 |
| 13 | -6.360 |
| 14 | -4.294 |
| 15 | -6.356 |
| 16 | -6.513 |
| 17 | -6.357 |
| 18 | -4.189 |
| 19 | -6.426 |
| 20 | -4.336 |
| 21 | -3.824 |
| 22 | -4.196 |
| 23 | -2.459 |
| 24 | -5.152 |
| 25 | -6.052 |
| 26 | -4.294 |
| 27 | -6.383 |
| 28 | -5.096 |
| 29 | -6.452 |
| 30 | -6.385 |